[1]
! LiAsI2O PBE optimized geometry; values from VASP
! space-group type	P4/mmm, No. 123
! magnetic moment	0.000	μB/atom
! energy relative to the elements, uncorrected	0.133	eV per atom
! VASP energy	-0.205	Ry/atom
! relative energy among the computed polymorphs	660	meV/atom
&SYSTEM
  ibrav = 0, nat = 5, ntyp = 4
/
ATOMIC_SPECIES
As 74.92 As.upf
I 126.90 I.upf
Li 6.94 Li.upf
O 16.00 O.upf
CELL_PARAMETERS angstrom
-1.913 3.440 3.659
-4.372 -3.068 0.598
1.689 -1.889 2.659
ATOMIC_POSITIONS crystal
As 0.500 0.500 0.500
I 0.000 0.500 0.000
I 0.500 0.000 0.000
Li 0.000 0.000 0.000
O 0.000 0.000 0.500


[2]
! Tb5Cd4In PBE optimized geometry; values from VASP
! space-group type	P4/mmm, No. 123
! magnetic moment	0.001	μB/atom
! VASP energy	-0.243	Ry/atom
! energy relative to the elements	-0.35	eV/atom
&SYSTEM
  ibrav = 0, nat = 10, ntyp = 3
/
ATOMIC_SPECIES
Cd 112.41 Cd.upf
Tb 158.93 Tb.upf
In 114.82 In.upf
CELL_PARAMETERS angstrom
3.757 0.000 0.000
0.000 3.757 0.000
0.000 0.000 18.868
ATOMIC_POSITIONS crystal
Cd 0.000 0.000 0.202
Tb 0.500 0.500 0.500
Tb 0.500 0.500 0.898
Cd 0.000 0.000 0.798
Cd 0.000 0.000 0.400
Tb 0.500 0.500 0.102
In 0.000 0.000 0.000
Tb 0.500 0.500 0.301
Tb 0.500 0.500 0.699
Cd 0.000 0.000 0.600


[3]
! Cs5NaI4 PBE optimized geometry; values from VASP
! space-group type	I4/mmm, No. 139
! magnetic moment	0.000	μB/atom
! energy relative to the elements, uncorrected	-1.196	eV per atom
! VASP energy	-0.175	Ry/atom
&SYSTEM
  ibrav = 0, nat = 10, ntyp = 3
/
ATOMIC_SPECIES
Cs 132.91 Cs.upf
I 126.90 I.upf
Na 22.99 Na.upf
CELL_PARAMETERS angstrom
5.591 0.000 -0.788
-0.111 5.590 -0.788
0.028 0.029 20.430
ATOMIC_POSITIONS crystal
Cs 0.700 0.700 0.401
Cs 0.500 0.500 0.000
I 0.602 0.602 0.204
Cs 0.895 0.895 0.790
I 0.202 0.202 0.403
I 0.798 0.798 0.597
Cs 0.300 0.300 0.599
Cs 0.105 0.105 0.210
Na 0.000 0.000 0.000
I 0.398 0.398 0.796


[4]
! TaTiFe2 PBE optimized geometry; values from VASP
! space-group type	Fm-3m, No. 225
! magnetic moment	0.249	μB/atom
! VASP energy	-0.694	Ry/atom
! relative energy among the computed polymorphs	0	meV/atom
! energy relative to the elements	-0.28	eV/atom
&SYSTEM
  ibrav = 0, nat = 4, ntyp = 3
/
ATOMIC_SPECIES
Ta 180.95 Ta.upf
Ti 47.87 Ti.upf
Fe 55.84 Fe.upf
CELL_PARAMETERS angstrom
3.786 -1.348 1.417
0.772 -4.174 0.372
2.717 -1.911 -2.670
ATOMIC_POSITIONS crystal
Ta 0.500 0.500 0.500
Ti 0.000 0.000 0.000
Fe 0.750 0.750 0.750
Fe 0.250 0.250 0.250


[5]
! Er3Cu8Ag PBE optimized geometry; values from VASP
! space-group type	R3m, No. 160
! magnetic moment	0.000	μB/atom
! VASP energy	-0.318	Ry/atom
! energy relative to the elements	-0.21	eV/atom
&SYSTEM
  ibrav = 0, nat = 12, ntyp = 3
/
ATOMIC_SPECIES
Er 167.26 Er.upf
Cu 63.55 Cu.upf
Ag 107.87 Ag.upf
CELL_PARAMETERS angstrom
4.912 0.000 1.483
2.232 4.376 1.483
-0.016 -0.010 8.932
ATOMIC_POSITIONS crystal
Er 0.508 0.508 0.476
Er 0.991 0.991 0.026
Cu 0.437 0.938 0.687
Cu 0.938 0.938 0.687
Cu 0.944 0.434 0.188
Cu 0.938 0.437 0.687
Cu 0.434 0.434 0.188
Cu 0.434 0.944 0.188
Cu 0.188 0.188 0.436
Er 0.379 0.379 0.863
Cu 0.687 0.687 0.940
Ag 0.872 0.872 0.385


[6]
! TaCrSi2 PBE optimized geometry; values from VASP
! space-group type	R-3m, No. 166
! magnetic moment	0.032	μB/atom
! energy relative to the elements, uncorrected	-0.011	eV per atom
! VASP energy	-0.595	Ry/atom
&SYSTEM
  ibrav = 0, nat = 4, ntyp = 3
/
ATOMIC_SPECIES
Cr 52.00 Cr.upf
Si 28.09 Si.upf
Ta 180.95 Ta.upf
CELL_PARAMETERS angstrom
8.308 -0.003 -0.002
7.824 2.795 -0.002
7.824 1.354 2.445
ATOMIC_POSITIONS crystal
Cr 0.750 0.750 0.750
Si 0.492 0.492 0.492
Ta 0.250 0.250 0.250
Si 0.008 0.008 0.008


[7]
! Li2MnBSb PBE optimized geometry; values from VASP
! space-group type	P4/mmm, No. 123
! magnetic moment	0.652	μB/atom
! energy relative to the elements, uncorrected	1.183	eV per atom
! VASP energy	-0.263	Ry/atom
&SYSTEM
  ibrav = 0, nat = 5, ntyp = 4
/
ATOMIC_SPECIES
Li 6.94 Li.upf
Sb 121.76 Sb.upf
Mn 54.94 Mn.upf
B 10.81 B.upf
CELL_PARAMETERS angstrom
-1.037 -1.799 -4.381
4.723 -0.204 -1.035
0.200 -4.498 1.799
ATOMIC_POSITIONS crystal
Li 0.500 0.000 0.000
Sb 0.000 0.500 0.000
Li 0.000 0.000 0.500
Mn 0.000 0.000 0.000
B 0.500 0.500 0.500


[8]
! CaSClO4 PBE optimized geometry; values from VASP
! space-group type	C2/m, No. 12
! magnetic moment	0.000	μB/atom
! energy relative to the elements, uncorrected	-1.823	eV per atom
! VASP energy	-0.426	Ry/atom
&SYSTEM
  ibrav = 0, nat = 14, ntyp = 4
/
ATOMIC_SPECIES
O 16.00 O.upf
Cl 35.45 Cl.upf
Ca 40.08 Ca.upf
S 32.06 S.upf
CELL_PARAMETERS angstrom
6.373 0.669 -0.452
2.742 5.792 -0.452
1.375 0.974 6.423
ATOMIC_POSITIONS crystal
O 0.507 0.507 0.757
O 0.493 0.493 0.243
O 0.867 0.488 0.859
O 0.297 0.297 0.468
Cl 0.983 0.983 0.651
Cl 0.017 0.017 0.349
O 0.703 0.703 0.532
Ca 0.700 0.700 0.186
O 0.488 0.867 0.859
Ca 0.300 0.300 0.814
O 0.512 0.133 0.141
S 0.639 0.639 0.745
O 0.133 0.512 0.141
S 0.361 0.361 0.255


[9]
! KCaCd2 PBE optimized geometry; values from VASP
! space-group type	P4/mmm, No. 123
! magnetic moment	0.000	μB/atom
! VASP energy	-0.098	Ry/atom
! relative energy among the computed polymorphs	41	meV/atom
! energy relative to the elements	-0.10	eV/atom
&SYSTEM
  ibrav = 0, nat = 4, ntyp = 3
/
ATOMIC_SPECIES
K 39.10 K.upf
Ca 40.08 Ca.upf
Cd 112.41 Cd.upf
CELL_PARAMETERS angstrom
5.863 0.064 0.000
-0.069 5.863 0.000
0.000 0.000 3.780
ATOMIC_POSITIONS crystal
K 0.500 0.000 0.500
Ca 0.000 0.500 0.500
Cd 0.500 0.500 0.000
Cd 0.000 0.000 0.000


[10]
! Ca2TaTe PBE optimized geometry; values from VASP
! space-group type	I-42d, No. 122
! magnetic moment	0.217	μB/atom
! energy relative to the elements, uncorrected	0.468	eV per atom
! VASP energy	-0.315	Ry/atom
&SYSTEM
  ibrav = 0, nat = 8, ntyp = 3
/
ATOMIC_SPECIES
Ca 40.08 Ca.upf
Te 127.60 Te.upf
Ta 180.95 Ta.upf
CELL_PARAMETERS angstrom
-6.807 2.558 -4.651
3.805 -2.922 -7.176
-2.784 -2.855 -5.506
ATOMIC_POSITIONS crystal
Ca 0.142 0.625 0.250
Ca 0.375 0.392 0.750
Te 0.250 0.750 0.500
Te 0.500 0.500 0.000
Ca 0.875 0.858 0.750
Ta 0.000 0.000 0.000
Ca 0.608 0.125 0.250
Ta 0.750 0.250 0.500


[11]
! Nb2NiPd PBE optimized geometry; values from VASP
! space-group type	I-42d, No. 122
! magnetic moment	0.000	μB/atom
! VASP energy	-0.548	Ry/atom
! relative energy among the computed polymorphs	568	meV/atom
! energy relative to the elements	0.33	eV/atom
&SYSTEM
  ibrav = 0, nat = 8, ntyp = 3
/
ATOMIC_SPECIES
Pd 106.42 Pd.upf
Ni 58.69 Ni.upf
Nb 92.91 Nb.upf
CELL_PARAMETERS angstrom
3.856 0.000 0.000
0.000 3.856 0.000
1.928 1.928 9.136
ATOMIC_POSITIONS crystal
Pd 0.750 0.250 0.500
Ni 0.500 0.500 0.000
Nb 0.617 0.125 0.250
Nb 0.133 0.625 0.250
Ni 0.250 0.750 0.500
Nb 0.375 0.383 0.750
Pd 0.000 0.000 0.000
Nb 0.875 0.867 0.750